The following is a DFT calculation (PBE-GGA) of crystalline KTaCo2 at its relaxed geometry.

## Properties
**Formation energy**: 0.94 eV per atom
**Distance to the lowest polymorph of the same formula**: 548 meV per atom
**Total energy**: -5.854 eV/atom
**Spin magnetization**: 2.307 μB per cell

a = 5.982 Å, b = 5.982 Å, c = 5.982 Å
α = 154.56°, β = 129.53°, γ = 57.35°
Fractional coordinates of all 4 atoms:
1 Co 0.985 0.985 0.000
2 Co 0.794 0.294 0.500
3 K 0.512 0.512 0.000
4 Ta 0.209 0.709 0.500